## NbPtSe2N (PBE-GGA)

Data for a relaxed NbPtSe2N crystal.

Values from the calculation:
Spin magnetization ... 0.000 Bohr magnetons per cell
Volume ... 101 Å³/cell
Crystal system ... tetragonal
Formation energy from raw total energies ... 462 meV per atom
Space-group type ... P4/mmm, No. 123
Energy above the lowest structure with this stoichiometry ... 0.0 meV per atom

Cell lengths 5.1380, 5.1380, 3.8230 Å; angles 90.00, 90.00, 90.00 degrees
Fractional positions:
Se 0.5000 0.0000 0.0000
Se 0.0000 0.5000 0.0000
Pt 0.5000 0.5000 0.5000
N 0.0000 0.0000 0.5000
Nb 0.0000 0.0000 0.0000



## TlOsSCl2 (PBE-GGA)

Data for a relaxed TlOsSCl2 crystal.

Values from the calculation:
Spin magnetization ... 5.074 Bohr magnetons per cell
Volume ... 145 Å³/cell
Crystal system ... tetragonal
Formation energy from raw total energies ... 1252 meV per atom
Space-group type ... P4/mmm, No. 123
Energy above the lowest structure with this stoichiometry ... 1389.9 meV per atom

Cell lengths 5.3030, 5.3030, 5.1675 Å; angles 90.00, 90.00, 90.00 degrees
Fractional positions:
Cl 0.5000 0.0000 0.0000
Cl 0.0000 0.5000 0.0000
S 0.0000 0.0000 0.5000
Tl 0.0000 0.0000 0.0000
Os 0.5000 0.5000 0.5000



## MgOs2Se (PBE-GGA)

Data for a relaxed MgOs2Se crystal.

Values from the calculation:
Spin magnetization ... 0.000 Bohr magnetons per cell
Volume ... 63 Å³/cell
Crystal system ... tetragonal
Formation energy from raw total energies ... 614 meV per atom
Space-group type ... I-4m2, No. 119
Energy above the lowest structure with this stoichiometry ... 471.2 meV per atom

Cell lengths 4.7312, 4.7312, 4.7312 Å; angles 128.73, 128.73, 75.44 degrees
Fractional positions:
Se 0.5000 0.5000 0.0000
Os 0.2500 0.7500 0.5000
Os 0.0000 0.0000 0.0000
Mg 0.7500 0.2500 0.5000



## Ba3Tl3Rh2 (PBE-GGA)

Data for a relaxed Ba3Tl3Rh2 crystal.

Values from the calculation:
Spin magnetization ... 0.000 Bohr magnetons per cell
Volume ... 258 Å³/cell
Crystal system ... triclinic
E ... -3.78 eV per atom
Space-group type ... P-1, No. 2

Cell lengths 4.6033, 5.9229, 9.8857 Å; angles 80.03, 76.52, 89.94 degrees
Fractional positions:
Tl 0.6433 0.0690 0.7130
Tl 0.3567 0.9310 0.2870
Tl 0.5000 0.5000 0.0000
Ba 0.0000 0.0000 0.0000
Ba 0.8367 0.4250 0.3266
Ba 0.1633 0.5750 0.6734
Rh 0.7751 0.9159 0.4501
Rh 0.2249 0.0841 0.5499



## Ba2ZrCd (PBE-GGA)

Data for a relaxed Ba2ZrCd crystal.

Values from the calculation:
Spin magnetization ... 0.258 Bohr magnetons per cell
Volume ... 144 Å³/cell
Crystal system ... orthorhombic
E ... -2.99 eV per atom
Space-group type ... Cmmm, No. 65

Cell lengths 6.1608, 6.1608, 3.7821 Å; angles 90.01, 90.01, 89.68 degrees
Fractional positions:
Cd 0.5000 0.0000 0.5000
Ba 0.5000 0.5000 0.0000
Ba 0.0000 0.0000 0.0000
Zr 0.0000 0.5000 0.5000



## Ni5Ag3I12 (PBE-GGA)

Data for a relaxed Ni5Ag3I12 crystal.

Values from the calculation:
Spin magnetization ... 4.161 Bohr magnetons per cell
Volume ... 2496 Å³/cell
Crystal system ... cubic
Formation energy from raw total energies ... -3 meV per atom
Space-group type ... Ia-3d, No. 230

Cell lengths 14.8006, 14.8006, 14.8006 Å; angles 109.47, 109.47, 109.47 degrees
Fractional positions:
I 0.1739 0.0614 0.6915
I 0.6915 0.5614 0.1739
I 0.3085 0.8700 0.9824
I 0.6300 0.0176 0.1915
I 0.9824 0.6125 0.1739
I 0.9386 0.8261 0.8085
I 0.6125 0.6300 0.4386
I 0.3700 0.3875 0.0614
I 0.5614 0.8700 0.3875
I 0.8700 0.5614 0.8875
I 0.8875 0.0614 0.8700
I 0.9386 0.1125 0.6300
I 0.3700 0.9824 0.8085
I 0.4386 0.3085 0.3261
I 0.1300 0.4386 0.1125
I 0.3261 0.8085 0.4386
I 0.1915 0.6739 0.0614
I 0.6125 0.9824 0.6739
I 0.8085 0.4824 0.3700
I 0.3085 0.4386 0.8261
I 0.4824 0.8085 0.8700
I 0.8261 0.8875 0.0176
I 0.6915 0.1300 0.0176
I 0.9824 0.3700 0.3085
I 0.6739 0.4824 0.6125
I 0.8261 0.9386 0.3085
I 0.6300 0.6125 0.9386
I 0.5176 0.1915 0.1300
I 0.5614 0.6915 0.6739
I 0.1915 0.5176 0.6300
I 0.0176 0.3875 0.8261
I 0.3875 0.0176 0.3261
I 0.8875 0.8261 0.5176
I 0.1125 0.9386 0.1300
I 0.3261 0.5176 0.3875
I 0.4386 0.1300 0.6125
I 0.8085 0.3261 0.9386
I 0.1739 0.1125 0.9824
I 0.3875 0.3700 0.5614
I 0.1125 0.1739 0.4824
I 0.1300 0.6915 0.5176
I 0.5176 0.3261 0.8875
I 0.0176 0.6300 0.6915
I 0.0614 0.8875 0.3700
I 0.0614 0.1739 0.1915
I 0.8700 0.3085 0.4824
I 0.6739 0.1915 0.5614
I 0.4824 0.6739 0.1125
Ni 0.0000 0.0000 0.0000
Ni 0.5000 0.5000 0.0000
Ni 0.3750 0.1250 0.7500
Ni 0.2500 0.3750 0.6250
Ni 0.5000 0.0000 0.0000
Ni 0.0000 0.5000 0.5000
Ni 0.6250 0.7500 0.8750
Ni 0.5000 0.0000 0.5000
Ni 0.3750 0.2500 0.1250
Ni 0.7500 0.1250 0.8750
Ni 0.6250 0.8750 0.2500
Ni 0.8750 0.6250 0.7500
Ni 0.0000 0.0000 0.5000
Ni 0.1250 0.3750 0.2500
Ni 0.1250 0.7500 0.3750
Ni 0.7500 0.6250 0.3750
Ni 0.8750 0.2500 0.6250
Ni 0.0000 0.5000 0.0000
Ni 0.5000 0.5000 0.5000
Ni 0.2500 0.8750 0.1250
Ag 0.7500 0.3750 0.1250
Ag 0.7500 0.8750 0.6250
Ag 0.2500 0.1250 0.3750
Ag 0.1250 0.8750 0.7500
Ag 0.3750 0.7500 0.6250
Ag 0.2500 0.6250 0.8750
Ag 0.8750 0.7500 0.1250
Ag 0.6250 0.2500 0.3750
Ag 0.6250 0.3750 0.7500
Ag 0.3750 0.6250 0.2500
Ag 0.8750 0.1250 0.2500
Ag 0.1250 0.2500 0.8750



## Mo3Br (PBE-GGA)

Data for a relaxed Mo3Br crystal.

Values from the calculation:
Spin magnetization ... 0.000 Bohr magnetons per cell
Volume ... 66 Å³/cell
Crystal system ... trigonal
Formation energy from raw total energies ... 835 meV per atom
Space-group type ... R-3m, No. 166
Energy above the lowest structure with this stoichiometry ... 404.2 meV per atom

Cell lengths 5.1816, 5.1816, 5.1816 Å; angles 116.50, 116.50, 116.50 degrees
Fractional positions:
Mo 0.5000 0.0000 0.5000
Mo 0.0000 0.5000 0.5000
Mo 0.5000 0.5000 0.0000
Br 0.0000 0.0000 0.0000



## Zr2Ag (PBE-GGA)

Data for a relaxed Zr2Ag crystal.

Values from the calculation:
Spin magnetization ... 0.000 Bohr magnetons per cell
Volume ... 129 Å³/cell
Crystal system ... monoclinic
E ... -6.67 eV per atom
Space-group type ... C2/m, No. 12

Cell lengths 3.1966, 5.5451, 8.4208 Å; angles 114.12, 90.00, 73.25 degrees
Fractional positions:
Zr 0.9649 0.0701 0.5623
Zr 0.2962 0.4075 0.3685
Zr 0.6462 0.7077 0.7155
Zr 0.3149 0.3702 0.9093
Ag 0.9903 0.0193 0.0511
Ag 0.6208 0.7584 0.2266



## In2TeMo (PBE-GGA)

Data for a relaxed In2TeMo crystal.

Values from the calculation:
Spin magnetization ... 0.000 Bohr magnetons per cell
Volume ... 93 Å³/cell
Crystal system ... orthorhombic
Formation energy from raw total energies ... 289 meV per atom
Space-group type ... Amm2, No. 38

Cell lengths 4.5312, 3.7700, 5.7342 Å; angles 70.80, 90.00, 90.00 degrees
Fractional positions:
Te 0.5000 0.5569 0.7614
Mo 0.0000 0.6972 0.4809
In 0.0000 0.9651 0.9442
In 0.5000 0.2808 0.3135